Material: Ba2HCl
Method: DFT, PBE
State: relaxed

POSCAR file:
```
Ba2HCl
1.0
0.000 3.830 3.830
3.830 0.000 3.830
3.830 3.830 0.000
H Ba Cl
1 2 1
direct
0.000 0.000 0.000
0.250 0.250 0.250
0.750 0.750 0.750
0.500 0.500 0.500
```

Summary:
The space group is Fm-3m (225). The distance to the lowest polymorph of the same formula comes out at 0.314 eV/atom.